--- 1 ---
# HfCo3Ir, optimized geometry, DFT GGA-PBE
# * SG: Pm-3m (221)
# * mass density: 10.78 Mg/m³
data_HfCo3Ir
_symmetry_space_group_name_H-M 'P 1'
_symmetry_Int_Tables_number 1
_cell_length_a 4.386
_cell_length_b 4.386
_cell_length_c 4.386
_cell_angle_alpha 90.00
_cell_angle_beta 90.00
_cell_angle_gamma 90.00
loop_
_symmetry_equiv_pos_as_xyz
'x,y,z'
loop_
_atom_site_label
_atom_site_type_symbol
_atom_site_fract_x
_atom_site_fract_y
_atom_site_fract_z
Co1 Co 0.000 0.500 0.000
Co2 Co 0.000 0.000 0.500
Co3 Co 0.500 0.000 0.000
Ir1 Ir 0.500 0.500 0.500
Hf1 Hf 0.000 0.000 0.000

--- 2 ---
# HfCo3Ir, optimized geometry, DFT GGA-PBE
# * SG: Pm-3m (221)
# * mass density: 10.20 Mg/m³
data_HfCo3Ir
_symmetry_space_group_name_H-M 'P 1'
_symmetry_Int_Tables_number 1
_cell_length_a 4.468
_cell_length_b 4.468
_cell_length_c 4.468
_cell_angle_alpha 90.00
_cell_angle_beta 90.00
_cell_angle_gamma 90.00
loop_
_symmetry_equiv_pos_as_xyz
'x,y,z'
loop_
_atom_site_label
_atom_site_type_symbol
_atom_site_fract_x
_atom_site_fract_y
_atom_site_fract_z
Co1 Co 0.000 0.500 0.000
Co2 Co 0.000 0.000 0.500
Co3 Co 0.500 0.000 0.000
Ir1 Ir 0.000 0.000 0.000
Hf1 Hf 0.500 0.500 0.500

Here are the energies relative to the best structure, in kJ/mol of atoms: 1 60.4; 2 0.0.

--- 1 ---
# K2HfCo, optimized geometry, DFT GGA-PBE
# * SG: I-42d (122)
# * mass density: 2.91 Mg/m³
data_K2HfCo
_symmetry_space_group_name_H-M 'P 1'
_symmetry_Int_Tables_number 1
_cell_length_a 12.682
_cell_length_b 12.682
_cell_length_c 9.243
_cell_angle_alpha 46.68
_cell_angle_beta 46.68
_cell_angle_gamma 90.00
loop_
_symmetry_equiv_pos_as_xyz
'x,y,z'
loop_
_atom_site_label
_atom_site_type_symbol
_atom_site_fract_x
_atom_site_fract_y
_atom_site_fract_z
Co1 Co 0.500 0.500 0.000
Co2 Co 0.250 0.750 0.500
K1 K 0.463 0.125 0.250
K2 K 0.287 0.625 0.250
K3 K 0.375 0.537 0.750
K4 K 0.875 0.713 0.750
Hf1 Hf 0.000 0.000 0.000
Hf2 Hf 0.750 0.250 0.500

--- 2 ---
# K2HfCo, optimized geometry, DFT GGA-PBE
# * SG: Fm-3m (225)
# * mass density: 4.53 Mg/m³
data_K2HfCo
_symmetry_space_group_name_H-M 'P 1'
_symmetry_Int_Tables_number 1
_cell_length_a 5.468
_cell_length_b 5.468
_cell_length_c 5.468
_cell_angle_alpha 60.00
_cell_angle_beta 60.00
_cell_angle_gamma 60.00
loop_
_symmetry_equiv_pos_as_xyz
'x,y,z'
loop_
_atom_site_label
_atom_site_type_symbol
_atom_site_fract_x
_atom_site_fract_y
_atom_site_fract_z
Co1 Co 0.000 0.000 0.000
K1 K 0.250 0.250 0.250
K2 K 0.750 0.750 0.750
Hf1 Hf 0.500 0.500 0.500

Here are the energies relative to the best structure, in kJ/mol of atoms: 1 0.0; 2 82.6.

--- 1 ---
# KHfCo3, optimized geometry, DFT GGA-PBE
# * SG: Pm-3m (221)
# * mass density: 7.83 Mg/m³
data_KHfCo3
_symmetry_space_group_name_H-M 'P 1'
_symmetry_Int_Tables_number 1
_cell_length_a 4.373
_cell_length_b 4.373
_cell_length_c 4.373
_cell_angle_alpha 90.00
_cell_angle_beta 90.00
_cell_angle_gamma 90.00
loop_
_symmetry_equiv_pos_as_xyz
'x,y,z'
loop_
_atom_site_label
_atom_site_type_symbol
_atom_site_fract_x
_atom_site_fract_y
_atom_site_fract_z
Co1 Co 0.000 0.500 0.000
Co2 Co 0.000 0.000 0.500
Co3 Co 0.500 0.000 0.000
K1 K 0.000 0.000 0.000
Hf1 Hf 0.500 0.500 0.500

--- 2 ---
# KHfCo3, optimized geometry, DFT GGA-PBE
# * SG: Pm-3m (221)
# * mass density: 6.01 Mg/m³
data_KHfCo3
_symmetry_space_group_name_H-M 'P 1'
_symmetry_Int_Tables_number 1
_cell_length_a 4.777
_cell_length_b 4.777
_cell_length_c 4.777
_cell_angle_alpha 90.00
_cell_angle_beta 90.00
_cell_angle_gamma 90.00
loop_
_symmetry_equiv_pos_as_xyz
'x,y,z'
loop_
_atom_site_label
_atom_site_type_symbol
_atom_site_fract_x
_atom_site_fract_y
_atom_site_fract_z
Co1 Co 0.000 0.500 0.000
Co2 Co 0.000 0.000 0.500
Co3 Co 0.500 0.000 0.000
K1 K 0.500 0.500 0.500
Hf1 Hf 0.000 0.000 0.000

Here are the energies relative to the best structure, in kJ/mol of atoms: 1 71.0; 2 0.0.

--- 1 ---
# La3HfCo, optimized geometry, DFT GGA-PBE
# * SG: Pm-3m (221)
# * mass density: 7.16 Mg/m³
data_La3HfCo
_symmetry_space_group_name_H-M 'P 1'
_symmetry_Int_Tables_number 1
_cell_length_a 5.333
_cell_length_b 5.333
_cell_length_c 5.333
_cell_angle_alpha 90.00
_cell_angle_beta 90.00
_cell_angle_gamma 90.00
loop_
_symmetry_equiv_pos_as_xyz
'x,y,z'
loop_
_atom_site_label
_atom_site_type_symbol
_atom_site_fract_x
_atom_site_fract_y
_atom_site_fract_z
Co1 Co 0.000 0.000 0.000
Hf1 Hf 0.500 0.500 0.500
La1 La 0.000 0.500 0.000
La2 La 0.000 0.000 0.500
La3 La 0.500 0.000 0.000

--- 2 ---
# La3HfCo, optimized geometry, DFT GGA-PBE
# * SG: Pm-3m (221)
# * mass density: 5.85 Mg/m³
data_La3HfCo
_symmetry_space_group_name_H-M 'P 1'
_symmetry_Int_Tables_number 1
_cell_length_a 5.704
_cell_length_b 5.704
_cell_length_c 5.704
_cell_angle_alpha 90.00
_cell_angle_beta 90.00
_cell_angle_gamma 90.00
loop_
_symmetry_equiv_pos_as_xyz
'x,y,z'
loop_
_atom_site_label
_atom_site_type_symbol
_atom_site_fract_x
_atom_site_fract_y
_atom_site_fract_z
Co1 Co 0.500 0.500 0.500
Hf1 Hf 0.000 0.000 0.000
La1 La 0.000 0.500 0.000
La2 La 0.000 0.000 0.500
La3 La 0.500 0.000 0.000

Here are the energies relative to the best structure, in kJ/mol of atoms: 1 0.0; 2 75.1.

--- 1 ---
# La2HfCo, optimized geometry, DFT GGA-PBE
# * SG: I-42d (122)
# * mass density: 8.29 Mg/m³
data_La2HfCo
_symmetry_space_group_name_H-M 'P 1'
_symmetry_Int_Tables_number 1
_cell_length_a 8.265
_cell_length_b 8.265
_cell_length_c 6.579
_cell_angle_alpha 51.09
_cell_angle_beta 51.09
_cell_angle_gamma 90.00
loop_
_symmetry_equiv_pos_as_xyz
'x,y,z'
loop_
_atom_site_label
_atom_site_type_symbol
_atom_site_fract_x
_atom_site_fract_y
_atom_site_fract_z
Co1 Co 0.500 0.500 0.000
Co2 Co 0.250 0.750 0.500
Hf1 Hf 0.000 0.000 0.000
Hf2 Hf 0.750 0.250 0.500
La1 La 0.557 0.125 0.250
La2 La 0.193 0.625 0.250
La3 La 0.375 0.443 0.750
La4 La 0.875 0.807 0.750

--- 2 ---
# La2HfCo, optimized geometry, DFT GGA-PBE
# * SG: R-3m (166)
# * mass density: 8.15 Mg/m³
data_La2HfCo
_symmetry_space_group_name_H-M 'P 1'
_symmetry_Int_Tables_number 1
_cell_length_a 3.471
_cell_length_b 3.471
_cell_length_c 10.260
_cell_angle_alpha 80.26
_cell_angle_beta 80.26
_cell_angle_gamma 60.00
loop_
_symmetry_equiv_pos_as_xyz
'x,y,z'
loop_
_atom_site_label
_atom_site_type_symbol
_atom_site_fract_x
_atom_site_fract_y
_atom_site_fract_z
Co1 Co 0.500 0.500 0.500
Hf1 Hf 0.000 0.000 0.000
La1 La 0.105 0.105 0.684
La2 La 0.895 0.895 0.316

Here are the energies relative to the best structure, in kJ/mol of atoms: 1 0.0; 2 13.2.

--- 1 ---
# LaHf3Co, optimized geometry, DFT GGA-PBE
# * SG: Pm-3m (221)
# * mass density: 9.35 Mg/m³
data_LaHf3Co
_symmetry_space_group_name_H-M 'P 1'
_symmetry_Int_Tables_number 1
_cell_length_a 5.070
_cell_length_b 5.070
_cell_length_c 5.070
_cell_angle_alpha 90.00
_cell_angle_beta 90.00
_cell_angle_gamma 90.00
loop_
_symmetry_equiv_pos_as_xyz
'x,y,z'
loop_
_atom_site_label
_atom_site_type_symbol
_atom_site_fract_x
_atom_site_fract_y
_atom_site_fract_z
Co1 Co 0.500 0.500 0.500
Hf1 Hf 0.000 0.500 0.000
Hf2 Hf 0.000 0.000 0.500
Hf3 Hf 0.500 0.000 0.000
La1 La 0.000 0.000 0.000

--- 2 ---
# LaHf3Co, optimized geometry, DFT GGA-PBE
# * SG: Pm-3m (221)
# * mass density: 10.24 Mg/m³
data_LaHf3Co
_symmetry_space_group_name_H-M 'P 1'
_symmetry_Int_Tables_number 1
_cell_length_a 4.918
_cell_length_b 4.918
_cell_length_c 4.918
_cell_angle_alpha 90.00
_cell_angle_beta 90.00
_cell_angle_gamma 90.00
loop_
_symmetry_equiv_pos_as_xyz
'x,y,z'
loop_
_atom_site_label
_atom_site_type_symbol
_atom_site_fract_x
_atom_site_fract_y
_atom_site_fract_z
Co1 Co 0.000 0.000 0.000
Hf1 Hf 0.000 0.500 0.000
Hf2 Hf 0.000 0.000 0.500
Hf3 Hf 0.500 0.000 0.000
La1 La 0.500 0.500 0.500

Here are the energies relative to the best structure, in kJ/mol of atoms: 1 189.7; 2 0.0.